A plane-wave DFT calculation with PBE was carried out for a relaxed structure of Pr6Er5Mg.

Cell: 5.156 9.531 9.531 Å, 108.63 105.66 105.66°
Positions (direct):
Er: 0.500 0.830 0.170
Er: 0.500 0.500 0.500
Er: 0.000 0.335 0.665
Er: 0.000 0.665 0.335
Er: 0.500 0.170 0.830
Mg: 0.000 0.000 0.000
Pr: 0.753 0.920 0.586
Pr: 0.253 0.753 0.753
Pr: 0.753 0.586 0.920
Pr: 0.247 0.080 0.414
Pr: 0.747 0.247 0.247
Pr: 0.247 0.414 0.080

Properties
For the uncorrected energy, the calculation gives -52.90 eV per formula unit. Its crystal system is orthorhombic.

***

A plane-wave DFT calculation with PBE was carried out for a relaxed structure of MgCrOs2.

Cell: 2.752 3.947 5.335 Å, 90.00 90.00 90.00°
Positions (direct):
Cr: 0.000 0.000 0.493
Mg: 0.500 0.500 0.748
Os: 0.500 0.500 0.249
Os: 0.000 0.000 0.009

Properties
For the uncorrected energy, the calculation gives -32.43 eV per formula unit. Its crystal system is orthorhombic.

***

A plane-wave DFT calculation with PBE was carried out for a relaxed structure of ZrRe2AgAs.

Cell: 4.927 5.069 4.927 Å, 90.00 90.00 90.00°
Positions (direct):
Ag: 0.500 0.500 0.500
Re: 0.000 0.000 0.500
Re: 0.500 0.000 0.000
As: 0.000 0.500 0.000
Zr: 0.000 0.000 0.000

Properties
For the uncorrected energy, the calculation gives -30.74 eV per formula unit. Its crystal system is tetragonal.